NpTiIn | PBE | optimized geometry

a = 4.0917 Å, b = 4.0917 Å, c = 7.6489 Å
α = 98.00°, β = 98.00°, γ = 90.39°
Closest atoms and distances in Å follow each position.
Positions (direct):
Np 0.0000 0.5000 0.0000  4 Np 2.88-2.90, 4 Ti 3.09-3.10, 2 In 3.22
Np 0.5000 0.0000 0.0000  4 Np 2.88-2.90, 4 Ti 3.09-3.10, 2 In 3.22
Ti 0.0804 0.0804 0.3096  5 In 2.86-3.00, 4 Np 3.09-3.10
Ti 0.9196 0.9196 0.6904  5 In 2.86-3.00, 4 Np 3.09-3.10
In 0.4088 0.4088 0.6662  5 Ti 2.86-3.00, 1 In 2.94
In 0.5912 0.5912 0.3338  5 Ti 2.86-3.00, 1 In 2.94

* M_tot: 5.85 Bohr magnetons per cell
* E: -7.61 eV per atom
* formation energy: 0.2514 eV per atom